Record 1
# LiSc2Te3 | Alexandria | PBE-GGA | optimized geometry
# uncorrected formation energy: -1.1628 eV/atom
data_LiSc2Te3
_chemical_formula_sum 'Li2 Sc4 Te6'
_cell_length_a 4.137
_cell_length_b 5.899
_cell_length_c 12.567
_cell_angle_alpha 90.00
_cell_angle_beta 90.00
_cell_angle_gamma 90.00
_symmetry_space_group_name_H-M 'I m m m'
_symmetry_Int_Tables_number 71
_symmetry_space_group_name_Hall '-I 2 2'
loop_
_atom_site_label
_atom_site_type_symbol
_atom_site_fract_x
_atom_site_fract_y
_atom_site_fract_z
Li1 Li 0.000 0.000 0.000
Sc1 Sc 0.000 0.000 0.334
Te1 Te 0.000 0.500 0.000
Te2 Te 0.000 0.500 0.334


Record 2
# Ca4DyHf3As8 | Alexandria | PBE-GGA | optimized geometry
# calculated formation energy: -1.170 eV per atom
data_Ca4DyHf3As8
_chemical_formula_sum 'Ca12 Dy3 Hf9 As24'
_cell_length_a 8.0090
_cell_length_b 8.0090
_cell_length_c 20.4630
_cell_angle_alpha 90.00
_cell_angle_beta 90.00
_cell_angle_gamma 120.00
_symmetry_space_group_name_H-M 'R -3 m'
_symmetry_Int_Tables_number 166
_symmetry_space_group_name_Hall '-R 3 2"'
loop_
_atom_site_label
_atom_site_type_symbol
_atom_site_fract_x
_atom_site_fract_y
_atom_site_fract_z
Ca1 Ca 0.0000 0.0000 0.0000
Ca2 Ca 0.0000 0.5000 0.0000
Dy1 Dy 0.0000 0.0000 0.5000
Hf1 Hf 0.0000 0.5000 0.5000
As1 As 0.0000 0.0000 0.2409
As2 As 0.0116 0.5058 0.7575


Record 3
# Li2ScCd2 | Alexandria | PBE-GGA | optimized geometry
# calculated formation energy: -0.086 eV per atom
# ΔE to the lowest computed polymorph: 0.095 eV per atom
data_Li2ScCd2
_chemical_formula_sum 'Li4 Sc2 Cd4'
_cell_length_a 8.089
_cell_length_b 8.089
_cell_length_c 3.070
_cell_angle_alpha 90.00
_cell_angle_beta 90.00
_cell_angle_gamma 90.00
_symmetry_space_group_name_H-M 'P 4/m b m'
_symmetry_Int_Tables_number 127
_symmetry_space_group_name_Hall '-P 4 2ab'
loop_
_atom_site_label
_atom_site_type_symbol
_atom_site_fract_x
_atom_site_fract_y
_atom_site_fract_z
Li1 Li 0.163 0.337 0.000
Sc1 Sc 0.000 0.000 0.500
Cd1 Cd 0.136 0.636 0.500


Record 4
# Hf2CoW | Alexandria | PBE-GGA | optimized geometry
# calculated formation energy: -0.154 eV per atom
data_Hf2CoW
_chemical_formula_sum 'Hf2 Co1 W1'
_cell_length_a 3.241
_cell_length_b 3.241
_cell_length_c 6.519
_cell_angle_alpha 90.00
_cell_angle_beta 90.00
_cell_angle_gamma 90.00
_symmetry_space_group_name_H-M 'P 4/m m m'
_symmetry_Int_Tables_number 123
_symmetry_space_group_name_Hall '-P 4 2'
loop_
_atom_site_label
_atom_site_type_symbol
_atom_site_fract_x
_atom_site_fract_y
_atom_site_fract_z
Hf1 Hf 0.000 0.000 0.239
Co1 Co 0.500 0.500 0.000
W1 W 0.500 0.500 0.500


Record 5
# LaDy2Tl2Ag2 | Alexandria | PBE-GGA | optimized geometry
# calculated formation energy: -0.223 eV per atom
data_LaDy2Tl2Ag2
_chemical_formula_sum 'La3 Dy6 Tl6 Ag6'
_cell_length_a 4.9475
_cell_length_b 4.9475
_cell_length_c 26.5669
_cell_angle_alpha 90.00
_cell_angle_beta 90.00
_cell_angle_gamma 120.00
_symmetry_space_group_name_H-M 'R -3 m'
_symmetry_Int_Tables_number 166
_symmetry_space_group_name_Hall '-R 3 2"'
loop_
_atom_site_label
_atom_site_type_symbol
_atom_site_fract_x
_atom_site_fract_y
_atom_site_fract_z
La1 La 0.0000 0.0000 0.0000
Dy1 Dy 0.0000 0.0000 0.1339
Tl1 Tl 0.0000 0.0000 0.2612
Ag1 Ag 0.0000 0.0000 0.4390


Record 6
# PbW4Br | Alexandria | PBE-GGA | optimized geometry
# uncorrected formation energy: 1.2148 eV/atom
data_PbW4Br
_chemical_formula_sum 'Pb4 W16 Br4'
_cell_length_a 7.766
_cell_length_b 7.766
_cell_length_c 7.766
_cell_angle_alpha 90.00
_cell_angle_beta 90.00
_cell_angle_gamma 90.00
_symmetry_space_group_name_H-M 'F -4 3 m'
_symmetry_Int_Tables_number 216
_symmetry_space_group_name_Hall 'F -4 2 3'
loop_
_atom_site_label
_atom_site_type_symbol
_atom_site_fract_x
_atom_site_fract_y
_atom_site_fract_z
Pb1 Pb 0.000 0.000 0.000
W1 W 0.121 0.121 0.621
Br1 Br 0.250 0.250 0.250


Record 7
# SrCu4SbP2 | Alexandria | PBE-GGA | optimized geometry
# uncorrected formation energy: -0.3233 eV/atom
data_SrCu4SbP2
_chemical_formula_sum 'Sr1 Cu4 Sb1 P2'
_cell_length_a 3.980
_cell_length_b 3.980
_cell_length_c 9.173
_cell_angle_alpha 90.00
_cell_angle_beta 90.00
_cell_angle_gamma 90.00
_symmetry_space_group_name_H-M 'P 4/m m m'
_symmetry_Int_Tables_number 123
_symmetry_space_group_name_Hall '-P 4 2'
loop_
_atom_site_label
_atom_site_type_symbol
_atom_site_fract_x
_atom_site_fract_y
_atom_site_fract_z
Sr1 Sr 0.000 0.000 0.000
Cu1 Cu 0.000 0.500 0.300
Sb1 Sb 0.000 0.000 0.500
P1 P 0.500 0.500 0.173


Record 8
# KZrRhSe3 | Alexandria | PBE-GGA | optimized geometry
# uncorrected formation energy: -1.0697 eV/atom
data_KZrRhSe3
_chemical_formula_sum 'K2 Zr2 Rh2 Se6'
_cell_length_a 8.802
_cell_length_b 3.894
_cell_length_c 9.705
_cell_angle_alpha 90.00
_cell_angle_beta 111.22
_cell_angle_gamma 90.00
_symmetry_space_group_name_H-M 'P 1 21/m 1'
_symmetry_Int_Tables_number 11
loop_
_symmetry_equiv_pos_as_xyz
'x,y,z'
'-x,-y,-z'
'-x,y+1/2,-z'
'x,-y+1/2,z'
loop_
_atom_site_label
_atom_site_type_symbol
_atom_site_fract_x
_atom_site_fract_y
_atom_site_fract_z
K1 K 0.219 0.250 0.246
Zr1 Zr 0.309 0.750 0.834
Rh1 Rh 0.091 0.250 0.595
Se1 Se 0.111 0.250 0.864
Se2 Se 0.229 0.750 0.540
Se3 Se 0.460 0.750 0.145


Record 9
# La3SmPt8 | Alexandria | PBE-GGA | optimized geometry
# calculated formation energy: -1.094 eV per atom
data_La3SmPt8
_chemical_formula_sum 'La9 Sm3 Pt24'
_cell_length_a 5.5382
_cell_length_b 5.5382
_cell_length_c 27.1594
_cell_angle_alpha 90.00
_cell_angle_beta 90.00
_cell_angle_gamma 120.00
_symmetry_space_group_name_H-M 'R 3 m'
_symmetry_Int_Tables_number 160
_symmetry_space_group_name_Hall 'R 3 -2"'
loop_
_atom_site_label
_atom_site_type_symbol
_atom_site_fract_x
_atom_site_fract_y
_atom_site_fract_z
La1 La 0.0000 0.0000 0.0000
La2 La 0.0000 0.0000 0.1256
La3 La 0.0000 0.0000 0.6248
Sm1 Sm 0.0000 0.0000 0.5001
Pt1 Pt 0.0000 0.0000 0.3127
Pt2 Pt 0.0000 0.0000 0.8128
Pt3 Pt 0.9995 0.4998 0.5620
Pt4 Pt 0.0010 0.5005 0.0634


Record 10
# TiS2BrCl | Alexandria | PBE-GGA | optimized geometry
# uncorrected formation energy: -0.4149 eV/atom
# ΔE to the lowest computed polymorph: 0.000 eV per atom
data_TiS2BrCl
_chemical_formula_sum 'Ti1 S2 Br1 Cl1'
_cell_length_a 4.769
_cell_length_b 4.769
_cell_length_c 4.783
_cell_angle_alpha 90.00
_cell_angle_beta 90.00
_cell_angle_gamma 90.00
_symmetry_space_group_name_H-M 'P 4/m m m'
_symmetry_Int_Tables_number 123
_symmetry_space_group_name_Hall '-P 4 2'
loop_
_atom_site_label
_atom_site_type_symbol
_atom_site_fract_x
_atom_site_fract_y
_atom_site_fract_z
Ti1 Ti 0.000 0.000 0.000
S1 S 0.000 0.500 0.000
Br1 Br 0.500 0.500 0.500
Cl1 Cl 0.000 0.000 0.500


Record 11
# La9Ho4Cd11 | Alexandria | PBE-GGA | optimized geometry
# calculated formation energy: -0.258 eV per atom
data_La9Ho4Cd11
_chemical_formula_sum 'La18 Ho8 Cd22'
_cell_length_a 16.337
_cell_length_b 24.107
_cell_length_c 3.548
_cell_angle_alpha 90.00
_cell_angle_beta 90.00
_cell_angle_gamma 90.00
_symmetry_space_group_name_H-M 'C m m m'
_symmetry_Int_Tables_number 65
_symmetry_space_group_name_Hall '-C 2 2'
loop_
_atom_site_label
_atom_site_type_symbol
_atom_site_fract_x
_atom_site_fract_y
_atom_site_fract_z
La1 La 0.000 0.000 0.000
La2 La 0.107 0.242 0.000
La3 La 0.131 0.419 0.000
Ho1 Ho 0.153 0.098 0.000
Cd1 Cd 0.000 0.134 0.500
Cd2 Cd 0.000 0.339 0.500
Cd3 Cd 0.000 0.500 0.500
Cd4 Cd 0.222 0.000 0.500
Cd5 Cd 0.238 0.319 0.500


Record 12
# LiTe2 | Alexandria | PBE-GGA | optimized geometry
# uncorrected formation energy: -0.3980 eV/atom
# ΔE to the lowest computed polymorph: 0.065 eV per atom
data_LiTe2
_chemical_formula_sum 'Li4 Te8'
_cell_length_a 10.037
_cell_length_b 3.993
_cell_length_c 8.511
_cell_angle_alpha 90.00
_cell_angle_beta 95.63
_cell_angle_gamma 90.00
_symmetry_space_group_name_H-M 'C 1 2/m 1'
_symmetry_Int_Tables_number 12
loop_
_symmetry_equiv_pos_as_xyz
'x,y,z'
'-x,-y,-z'
'-x,y,-z'
'x,-y,z'
'x+1/2,y+1/2,z'
'-x+1/2,-y+1/2,-z'
'-x+1/2,y+1/2,-z'
'x+1/2,-y+1/2,z'
loop_
_atom_site_label
_atom_site_type_symbol
_atom_site_fract_x
_atom_site_fract_y
_atom_site_fract_z
Li1 Li 0.142 0.000 0.116
Te1 Te 0.073 0.500 0.848
Te2 Te 0.187 0.000 0.596


no.,total DFT energy (no corrections) (eV/atom)
1,-5.16
2,-6.15
3,-2.48
4,-10.15
5,-3.73
6,-8.32
7,-4.45
8,-5.64
9,-6.75
10,-4.35
11,-3.29
12,-3.13